# AcCdBi2

An optimized crystal structure of AcCdBi2 (PBE, Alexandria).

Values from the calculation:
For the total moment, the calculation gives 0.000 μB per atom. As for the formation energy: -491 meV/atom. The energy above the most stable polymorph in this dataset is 9 meV per atom. Its total energy is -3.6877 eV per atom.

a = 5.090 Å, b = 5.090 Å, c = 4.892 Å
α = 90.00°, β = 90.00°, γ = 90.00°
Space group P4/mmm (No. 123)
Asymmetric unit:
Ac  0.000  0.000  0.000 x1
Cd  0.500  0.500  0.000 x1
Bi  0.000  0.500  0.500 x2